Entry 1:
VASP calculation (PBE) on a geometry-optimized PmPr4Er structure.

Geometry as POSCAR:
```
PmPr4Er
1.0
7.893 1.949 1.152
5.095 6.335 1.152
-0.646 -0.412 5.132
Pm Pr Er
1 4 1
Cartesian
6.171 3.936 3.718
4.347 2.773 0.771
1.813 1.157 2.945
10.528 6.715 4.490
7.994 5.099 6.664
0.000 0.000 0.000
```

Properties
Energy ... -28.3 eV for the cell shown
Offset from the most stable computed form ... 0.0 meV/atom
Formation enthalpy at 0 K ... 1.73 kJ/mol of atoms
V ... 35.04 Å³ per atom
Space-group type ... No. 65

---

Entry 2:
VASP calculation (PBE) on a geometry-optimized PmPr2Er structure.

Geometry as POSCAR:
```
PmPr2Er
1.0
-1.734 1.646 3.512
1.644 -3.172 2.299
6.301 4.121 1.179
Pr Pm Er
2 1 1
Cartesian
4.789 3.132 0.896
1.513 0.989 0.283
3.106 1.298 3.495
-0.045 -0.763 2.905
```

Properties
Energy ... -18.5 eV for the cell shown
Offset from the most stable computed form ... 85.8 meV/atom
Formation enthalpy at 0 K ... 9.69 kJ/mol of atoms
V ... 34.39 Å³ per atom
Space-group type ... No. 123

---

Entry 3:
VASP calculation (PBE) on a geometry-optimized PmPr6Er4 structure.

Geometry as POSCAR:
```
PmPr6Er4
1.0
-7.032 6.693 -2.487
2.208 -9.740 -0.834
2.956 -5.818 7.606
Er Pr Pm
4 6 1
Cartesian
1.920 -3.835 4.876
0.667 -11.170 5.131
1.448 -6.313 -0.458
-0.740 -3.104 1.508
-2.038 0.438 2.559
-2.412 -1.523 -1.660
0.278 -6.012 2.769
3.430 -9.234 5.830
3.164 -10.633 2.818
-3.577 1.457 -0.360
0.000 0.000 0.000
```

Properties
Energy ... -48.5 eV for the cell shown
Offset from the most stable computed form ... 140.1 meV/atom
Formation enthalpy at 0 K ... 27.63 kJ/mol of atoms
V ... 35.13 Å³ per atom
Space-group type ... No. 121

---

Entry 4:
VASP calculation (PBE) on a geometry-optimized Pm8Pr2Er3 structure.

Geometry as POSCAR:
```
Pm8Pr2Er3
1.0
-4.151 -3.443 3.232
2.882 -0.159 5.575
-3.761 9.111 6.912
Pm Er Pr
8 3 2
Cartesian
-3.180 -0.087 4.015
-2.961 1.012 7.467
-5.259 4.476 12.252
0.443 2.097 6.916
-5.474 3.411 8.803
-2.069 4.497 8.252
0.228 1.032 3.467
-1.851 5.595 11.704
-0.514 -1.286 6.138
0.000 0.000 0.000
-4.517 6.795 9.581
-2.239 3.376 4.796
-2.792 2.133 10.923
```

Properties
Energy ... -61.0 eV for the cell shown
Offset from the most stable computed form ... 0.0 meV/atom
Formation enthalpy at 0 K ... 1.92 kJ/mol of atoms
V ... 33.78 Å³ per atom
Space-group type ... No. 2

---

Entry 5:
VASP calculation (PBE) on a geometry-optimized Pm2Pr8Er3 structure.

Geometry as POSCAR:
```
Pm2Pr8Er3
1.0
5.702 0.000 0.764
0.000 7.753 0.000
-1.382 -3.877 10.284
Pr Er Pm
8 3 2
Cartesian
1.756 1.578 8.535
1.756 -1.578 8.535
2.565 2.298 2.513
2.565 5.455 2.513
-1.021 3.877 7.624
5.341 0.000 3.424
4.793 0.000 7.502
-0.472 3.877 3.546
0.000 5.546 0.000
0.000 2.207 0.000
2.851 0.000 0.382
2.138 3.877 5.740
2.183 0.000 5.308
```

Properties
Energy ... -58.9 eV for the cell shown
Offset from the most stable computed form ... 38.1 meV/atom
Formation enthalpy at 0 K ... 18.67 kJ/mol of atoms
V ... 35.61 Å³ per atom
Space-group type ... No. 12

---

Entry 6:
VASP calculation (PBE) on a geometry-optimized Pm7PrEr4 structure.

Geometry as POSCAR:
```
Pm7PrEr4
1.0
-1.139 4.215 4.102
-9.466 -0.394 2.150
-2.317 -3.611 7.442
Pr Pm Er
1 7 4
Cartesian
0.000 0.000 0.000
-10.544 0.983 9.185
-3.624 2.542 5.130
-9.298 -2.333 8.564
-0.570 2.107 2.051
-2.378 -0.774 4.510
-7.006 1.068 10.080
-5.916 -0.859 3.614
-6.191 -2.212 9.303
-6.731 2.421 4.392
-4.796 0.271 7.139
-8.126 -0.062 6.556
```

Properties
Energy ... -53.8 eV for the cell shown
Offset from the most stable computed form ... 202.6 meV/atom
Formation enthalpy at 0 K ... 19.88 kJ/mol of atoms
V ... 33.91 Å³ per atom
Space-group type ... No. 12